[1]
Here is a relaxed AlSiPd4 crystal from Alexandria via LeMat-Bulk. Energies are from PBE.

DFT total energy = -5.71 eV per atom
SG = No. 62
polymorph energy (0 for the lowest one) = 0 meV per atom

Unit cell a=3.7467 b=6.6828 c=14.3000 alpha=90.00 beta=90.00 gamma=90.00
Fractional positions:
Pd 0.7500 0.4990 0.5743
Pd 0.7500 0.8948 0.6559
Pd 0.2500 0.1579 0.5686
Pd 0.2500 0.5010 0.4257
Pd 0.7500 0.4085 0.2775
Pd 0.2500 0.0915 0.7775
Pd 0.7500 0.9085 0.2225
Pd 0.2500 0.5915 0.7225
Pd 0.2500 0.6579 0.9314
Pd 0.7500 0.3421 0.0686
Pd 0.7500 0.9990 0.9257
Pd 0.2500 0.1052 0.3441
Pd 0.2500 0.0010 0.0743
Pd 0.2500 0.6052 0.1559
Pd 0.7500 0.3948 0.8441
Pd 0.7500 0.8421 0.4314
Al 0.7500 0.7364 0.0553
Al 0.7500 0.2364 0.4447
Al 0.2500 0.2636 0.9447
Al 0.2500 0.7636 0.5553
Si 0.7500 0.2520 0.6903
Si 0.2500 0.7480 0.3097
Si 0.7500 0.7520 0.8097
Si 0.2500 0.2480 0.1903

---

[2]
Here is a relaxed Cd2SbH2 crystal from Alexandria via LeMat-Bulk. Energies are from PBE.

DFT total energy = -2.46 eV per atom
SG = No. 12
polymorph energy (0 for the lowest one) = 0 meV per atom

Unit cell a=4.9909 b=5.1608 c=4.9578 alpha=61.44 beta=59.78 gamma=61.08
Fractional positions:
H 0.5470 0.4922 0.4137
H 0.4530 0.5078 0.5863
Cd 0.2446 0.2636 0.2473
Cd 0.7554 0.7364 0.7527
Sb 0.0000 0.0000 0.0000

---

[3]
Here is a relaxed Dy2Ho3Er6In crystal from Alexandria via LeMat-Bulk. Energies are from PBE.

DFT total energy = -4.46 eV per atom
SG = No. 12

Unit cell a=6.0352 b=6.0352 c=11.5587 alpha=95.02 beta=95.02 gamma=120.04
Fractional positions:
Er 0.5892 0.9183 0.7526
Er 0.7526 0.7526 0.2488
Er 0.2474 0.2474 0.7512
Er 0.4108 0.0817 0.2474
Er 0.9183 0.5892 0.7526
Er 0.0817 0.4108 0.2474
Ho 0.8333 0.1667 0.5000
Ho 0.1667 0.8333 0.5000
Ho 0.5000 0.5000 0.5000
Dy 0.6660 0.3340 0.0000
Dy 0.3340 0.6660 0.0000
In 0.0000 0.0000 0.0000

---

[4]
Here is a relaxed Ho2SiHg crystal from Alexandria via LeMat-Bulk. Energies are from PBE.

DFT total energy = -4.14 eV per atom
SG = No. 166

Unit cell a=3.8531 b=3.8531 c=8.4187 alpha=76.77 beta=76.77 gamma=60.00
Fractional positions:
Si 0.0000 0.0000 0.0000
Ho 0.7390 0.7390 0.7830
Ho 0.2610 0.2610 0.2170
Hg 0.5000 0.5000 0.5000

---

[5]
Here is a relaxed GePBr crystal from Alexandria via LeMat-Bulk. Energies are from PBE.

DFT total energy = -3.93 eV per atom
SG = No. 8
polymorph energy (0 for the lowest one) = 172 meV per atom

Unit cell a=6.4561 b=3.7727 c=6.5329 alpha=90.00 beta=90.43 gamma=90.00
Fractional positions:
Ge 0.6674 0.5000 0.3295
Ge 0.6674 0.0000 0.8295
Br 0.1420 0.5000 0.9917
Br 0.1420 0.0000 0.4917
P 0.4928 0.5000 0.9948
P 0.4928 0.0000 0.4948

---

[6]
Here is a relaxed MnTe3 crystal from Alexandria via LeMat-Bulk. Energies are from PBE.

DFT total energy = -4.52 eV per atom
SG = No. 229

Unit cell a=5.3265 b=5.3265 c=5.3265 alpha=109.44 beta=109.44 gamma=109.44
Fractional positions:
Mn 0.0000 0.0000 0.0000
Te 0.5000 0.0000 0.5000
Te 0.5000 0.5000 0.0000
Te 0.0000 0.5000 0.5000